[1]
# PBE-GGA Li2HAu, optimized geometry
data_Li2HAu
_space_group_name_H-M_alt 'P 4/m m m'
_space_group_IT_number 123
_space_group_name_Hall '-P 4 2'
_cell_length_a 2.744
_cell_length_b 2.744
_cell_length_c 6.568
_cell_angle_alpha 90.00
_cell_angle_beta 90.00
_cell_angle_gamma 90.00
loop_
_atom_site_label
_atom_site_fract_x
_atom_site_fract_y
_atom_site_fract_z
Li1 0.000 0.000 0.191
H1 0.500 0.500 0.000
Au1 0.500 0.500 0.500
# raw total energy = -2.929 eV per atom

[2]
# PBE-GGA Nb2Tl2Sb, optimized geometry
data_Nb2Tl2Sb
_space_group_name_H-M_alt 'I 4/m m m'
_space_group_IT_number 139
_space_group_name_Hall '-I 4 2'
_cell_length_a 3.713
_cell_length_b 3.713
_cell_length_c 18.514
_cell_angle_alpha 90.00
_cell_angle_beta 90.00
_cell_angle_gamma 90.00
loop_
_atom_site_label
_atom_site_fract_x
_atom_site_fract_y
_atom_site_fract_z
Nb1 0.000 0.500 0.250
Tl1 0.000 0.000 0.110
Sb1 0.000 0.000 0.500
# raw total energy = -5.196 eV per atom
# formation energy (no corrections) = 0.6025 eV per atom

[3]
# PBE-GGA AcZn4Pd, optimized geometry
data_AcZn4Pd
_space_group_name_H-M_alt 'F -4 3 m'
_space_group_IT_number 216
_space_group_name_Hall 'F -4 2 3'
_cell_length_a 7.728
_cell_length_b 7.728
_cell_length_c 7.728
_cell_angle_alpha 90.00
_cell_angle_beta 90.00
_cell_angle_gamma 90.00
loop_
_atom_site_label
_atom_site_fract_x
_atom_site_fract_y
_atom_site_fract_z
Ac1 0.000 0.000 0.000
Zn1 0.122 0.122 0.378
Pd1 0.250 0.250 0.750
# raw total energy = -2.656 eV per atom
# calculated formation energy = -1.5 eV per formula unit